Entry from Alexandria: a geometry-optimized MnF3 structure (PBE+U).

Output
**Density of states at the Fermi level**: 1.159 states/eV/atom
**Final energy**: -4.0825 eV/atom
**V**: 18.08 Å³ per atom

Geometry as POSCAR:
```
MnF3
1.0
-2.811 -7.153 2.292
0.157 -7.129 3.671
-2.355 -5.661 5.169
Mn F
1 3
Direct
0.000 0.000 0.000
0.500 0.500 0.500
0.924 0.924 0.924
0.076 0.076 0.076
```